# Sc5Pd2 | Alexandria via LeMat-Bulk | PBE | optimized geometry
data_Sc5Pd2
_chemical_formula_sum 'Sc20 Pd8'
_cell_length_a 13.827
_cell_length_b 6.653
_cell_length_c 6.371
_cell_angle_alpha 90.00
_cell_angle_beta 90.17
_cell_angle_gamma 90.00
_space_group_name_H-M_alt 'C 1 2/c 1'
_space_group_IT_number 15
_space_group_name_Hall '-C 2yc'
loop_
_atom_site_label
_atom_site_type_symbol
_atom_site_fract_x
_atom_site_fract_y
_atom_site_fract_z
_atom_site_occupancy
Sc1 Sc 0.000 0.002 0.250 1
Sc2 Sc 0.090 0.352 0.998 1
Sc3 Sc 0.227 0.000 0.250 1
Pd1 Pd 0.122 0.257 0.500 1
# ΔH_f (0 K) ... -0.524 eV per atom
# Crystal system ... monoclinic
# N(E_F) ... 24.3 states/eV/cell
# Total moment ... 0.00 μB/f.u.
# E_tot ... -182.9 eV per cell
# Energy relative to the lowest polymorph listed for this composition ... 0 meV/atom